AcNd6Dy8: optimized geometry, PBE.

For the energy of formation, the calculation gives 203 meV/atom. For the distance to the lowest polymorph of the same formula, the calculation gives 0.0379 eV/atom. Its final energy is -4.433 eV/atom.

The structure belongs to space group R-3 (No. 148, hexagonal axes); the cell edges are 9.8115, 9.8115 and 18.5243 Å and the angles 90.00°, 90.00° and 120.00°. Symmetry generates all atoms from Ac at (0.0000, 0.0000, 0.0000), Nd at (0.0233, 0.7865, 0.4053), Dy at (0.0000, 0.0000, 0.2304) and Dy at (0.0447, 0.7581, 0.8983).